(1)
A relaxed structure of Rb2Ag2BiTe4, computed with PBE-GGA.

Cell: 8.8980 8.8980 8.7688 Å, 109.91 109.91 29.16°
Fractional coordinates of all 9 atoms:
Rb 0.1328 0.1328 0.0633
Rb 0.8672 0.8672 0.9367
Ag 0.3095 0.3095 0.5169
Ag 0.6905 0.6905 0.4831
Bi 0.0000 0.0000 0.5000
Te 0.1947 0.1947 0.6891
Te 0.4808 0.4808 0.7388
Te 0.5192 0.5192 0.2612
Te 0.8053 0.8053 0.3109

Values from the calculation:
calculated total energy = -3.158 eV per atom
formation energy without anion corrections = -0.48 eV/atom
spin magnetization = 0.00 μB/f.u.

---

(2)
A relaxed structure of ZrRu3Pb, computed with PBE-GGA.

Cell: 4.8493 4.8493 4.8493 Å, 90.00 90.00 90.00°
Fractional coordinates of all 5 atoms:
Zr 0.0000 0.0000 0.0000
Ru 0.0000 0.5000 0.5000
Ru 0.5000 0.0000 0.5000
Ru 0.5000 0.5000 0.0000
Pb 0.5000 0.5000 0.5000

Values from the calculation:
calculated total energy = -6.334 eV per atom
energy relative to the elements = 1.682 eV/atom
E above lowest polymorph = 293 meV per atom
spin magnetization = 1.04 μB/f.u.

---

(3)
A relaxed structure of YCdCl4, computed with PBE-GGA.

Cell: 5.8910 5.8910 5.8910 Å, 60.00 60.00 60.00°
Fractional coordinates of all 6 atoms:
Y 0.0000 0.0000 0.0000
Cd 0.7500 0.7500 0.7500
Cl 0.3745 0.3745 0.3745
Cl 0.3745 0.3745 0.8765
Cl 0.3745 0.8765 0.3745
Cl 0.8765 0.3745 0.3745

Values from the calculation:
calculated total energy = -2.772 eV per atom
formation energy without anion corrections = -0.31 eV/atom
spin magnetization = 1.05 μB/f.u.